[1]
A geometry-optimized LiPmB structure, computed with GGA-PBE.

a b c (Å): 4.2007 4.2007 4.2007
angles (deg): 60.00 60.00 60.00
Positions (direct):
1 Li 0.0000 0.0000 0.0000
2 Pm 0.2500 0.2500 0.2500
3 B 0.7500 0.7500 0.7500

Properties
electronic total energy	-3.854	eV per atom
volume	17.5	A^3/atom
magnetization	0.00	μB per formula unit

***

[2]
A geometry-optimized YInCuIr structure, computed with GGA-PBE.

a b c (Å): 4.7303 4.7303 4.7303
angles (deg): 60.00 60.00 60.00
Positions (direct):
1 Y 0.0000 0.0000 0.0000
2 In 0.5000 0.5000 0.5000
3 Cu 0.7500 0.7500 0.7500
4 Ir 0.2500 0.2500 0.2500

Properties
electronic total energy	-5.823	eV per atom
volume	18.7	A^3/atom
magnetization	0.00	μB per formula unit

***

[3]
A geometry-optimized Zn2In structure, computed with GGA-PBE.

a b c (Å): 8.4728 8.4728 4.4004
angles (deg): 90.00 90.00 158.59
Positions (direct):
1 Zn 0.1348 0.8652 0.7500
2 Zn 0.2337 0.7663 0.2500
3 Zn 0.7663 0.2337 0.7500
4 Zn 0.8652 0.1348 0.2500
5 In 0.4339 0.5661 0.7500
6 In 0.5661 0.4339 0.2500

Properties
electronic total energy	-1.652	eV per atom
volume	19.2	A^3/atom